DFT (PBE) results for a relaxed structure of SrLiHg2Pt. Values from VASP.

```
&SYSTEM
  ibrav = 0, nat = 5, ntyp = 4
/
ATOMIC_SPECIES
Sr 87.62 Sr.upf
Li 6.94 Li.upf
Hg 200.59 Hg.upf
Pt 195.08 Pt.upf
CELL_PARAMETERS angstrom
5.326 0.000 0.000
0.000 5.326 0.000
0.000 0.000 4.713
ATOMIC_POSITIONS crystal
Sr 0.000 0.000 0.000
Li 0.500 0.500 0.000
Hg 0.000 0.500 0.500
Hg 0.500 0.000 0.500
Pt 0.500 0.500 0.500
```

Symmetry: P4/mmm (123)
Calculated formation energy in meV per atom: -350
Density in g/cm³: 8.6


DFT (PBE) results for a relaxed structure of SrLiHgPt. Values from VASP.

```
&SYSTEM
  ibrav = 0, nat = 16, ntyp = 4
/
ATOMIC_SPECIES
Sr 87.62 Sr.upf
Li 6.94 Li.upf
Hg 200.59 Hg.upf
Pt 195.08 Pt.upf
CELL_PARAMETERS angstrom
7.211 0.000 0.000
0.000 7.211 0.000
0.000 0.000 7.211
ATOMIC_POSITIONS crystal
Sr 0.000 0.000 0.000
Sr 0.000 0.500 0.500
Sr 0.500 0.000 0.500
Sr 0.500 0.500 0.000
Li 0.000 0.000 0.500
Li 0.000 0.500 0.000
Li 0.500 0.000 0.000
Li 0.500 0.500 0.500
Hg 0.250 0.250 0.250
Hg 0.250 0.750 0.750
Hg 0.750 0.250 0.750
Hg 0.750 0.750 0.250
Pt 0.250 0.250 0.750
Pt 0.250 0.750 0.250
Pt 0.750 0.250 0.250
Pt 0.750 0.750 0.750
```

Symmetry: F-43m (216)
Calculated formation energy in meV per atom: -426
Density in g/cm³: 8.7


DFT (PBE) results for a relaxed structure of Li2TaHgPt. Values from VASP.

```
&SYSTEM
  ibrav = 0, nat = 5, ntyp = 4
/
ATOMIC_SPECIES
Li 6.94 Li.upf
Ta 180.95 Ta.upf
Hg 200.59 Hg.upf
Pt 195.08 Pt.upf
CELL_PARAMETERS angstrom
4.312 0.000 0.000
0.000 4.312 0.000
0.000 0.000 5.152
ATOMIC_POSITIONS crystal
Li 0.000 0.500 0.000
Li 0.500 0.000 0.000
Ta 0.000 0.000 0.500
Hg 0.500 0.500 0.000
Pt 0.500 0.500 0.500
```

Symmetry: P4/mmm (123)
Calculated formation energy in meV per atom: 836
Density in g/cm³: 10.2


DFT (PBE) results for a relaxed structure of Li2HgTePt. Values from VASP.

```
&SYSTEM
  ibrav = 0, nat = 5, ntyp = 4
/
ATOMIC_SPECIES
Li 6.94 Li.upf
Hg 200.59 Hg.upf
Te 127.60 Te.upf
Pt 195.08 Pt.upf
CELL_PARAMETERS angstrom
4.644 0.000 0.000
0.000 4.644 0.000
0.000 0.000 5.432
ATOMIC_POSITIONS crystal
Li 0.000 0.500 0.000
Li 0.500 0.000 0.000
Hg 0.000 0.000 0.000
Te 0.000 0.000 0.500
Pt 0.500 0.500 0.500
```

Symmetry: P4/mmm (123)
Formation energy (no corrections) in meV per atom: 418
Density in g/cm³: 7.6


Q: Look up the density of the second one.
A: 8.7 g/cm³